Below is a relaxed structure of CuRuW2, with properties calculated at the PBE-GGA level.

Unit cell a=6.0890 b=4.7485 c=2.7672 alpha=90.05 beta=62.88 gamma=120.55
With the nearest neighbours (Å) after each atom.
Element x y z (fractional)
Cu1 0.0000 0.5000 0.5000  2 Ru 2.71, 8 W 2.75, 2 Cu 2.77
Ru1 0.5000 0.5000 0.0000  2 Cu 2.71, 8 W 2.75, 2 Ru 2.77
W1 0.0000 0.0000 0.0000  4 W 2.71-2.77, 4 Cu 2.75, 4 Ru 2.75
W2 0.5000 0.0000 0.5000  4 W 2.71-2.77, 4 Ru 2.75, 4 Cu 2.75

Summary:
For the formation energy, the calculation gives 0.1938 eV/atom. Its total magnetic moment is 0.00 μB/f.u. The space group is Cmmm (65). The crystal system is orthorhombic.